The following is a PBE calculation of an optimized crystal structure of Pr3B2AsPt9, from the Alexandria database.

- total energy (eV per cell) = -98.1
- energy of formation from the pure elements (meV per atom) = -759
- magnetic moment (μB per cell) = 0.00
- space-group type = P-3m1 (164)

Lattice parameters (Å, degrees): 5.854 5.854 9.278 90.00 90.00 120.00
Positions (direct):
Pr: 0.000 0.000 0.000
Pr: 0.333 0.667 0.608
Pr: 0.667 0.333 0.392
B: 0.333 0.667 0.148
B: 0.667 0.333 0.852
As: 0.000 0.000 0.500
Pt: 0.000 0.500 0.000
Pt: 0.167 0.334 0.287
Pt: 0.167 0.833 0.287
Pt: 0.334 0.167 0.713
Pt: 0.500 0.000 0.000
Pt: 0.500 0.500 0.000
Pt: 0.666 0.833 0.287
Pt: 0.833 0.167 0.713
Pt: 0.833 0.666 0.713

The following is a PBE calculation of an optimized crystal structure of PrPuPdAu, from the Alexandria database.

- total energy (eV per cell) = -29.9
- energy of formation from the pure elements (meV per atom) = -576
- magnetic moment (μB per cell) = 5.82
- ΔE to the lowest computed polymorph (eV per atom) = 0.000
- space-group type = Amm2 (38)

Lattice parameters (Å, degrees): 4.629 5.872 5.872 39.15 90.00 90.00
Positions (direct):
Pr: 0.000 0.000 0.000
Pu: 0.500 0.721 0.721
Pd: 0.000 0.271 0.271
Au: 0.500 0.439 0.439

The following is a PBE calculation of an optimized crystal structure of Cs2SrMgH6, from the Alexandria database.

- total energy (eV per cell) = -27.9
- magnetic moment (μB per cell) = 0.00
- space-group type = P4/mmm (123)

Lattice parameters (Å, degrees): 4.626 4.626 8.877 90.00 90.00 90.00
Positions (direct):
Cs: 0.000 0.000 0.231
Cs: 0.000 0.000 0.769
Sr: 0.500 0.500 0.500
Mg: 0.500 0.500 0.000
H: 0.000 0.500 0.000
H: 0.000 0.500 0.500
H: 0.500 0.000 0.000
H: 0.500 0.000 0.500
H: 0.500 0.500 0.216
H: 0.500 0.500 0.784

The following is a PBE calculation of an optimized crystal structure of Hg2Te2I, from the Alexandria database.

- total energy (eV per cell) = -17.4
- raw formation energy (eV/atom) = -0.0499
- magnetic moment (μB per cell) = 0.00
- ΔE to the lowest computed polymorph (eV per atom) = 0.000
- space-group type = P-1 (2)

Lattice parameters (Å, degrees): 7.073 7.369 8.150 71.54 77.19 78.30
Positions (direct):
Hg: 0.157 0.129 0.063
Hg: 0.216 0.181 0.521
Hg: 0.784 0.819 0.479
Hg: 0.843 0.871 0.937
Te: 0.054 0.716 0.219
Te: 0.460 0.126 0.229
Te: 0.540 0.874 0.771
Te: 0.946 0.284 0.781
I: 0.225 0.632 0.727
I: 0.775 0.368 0.273

The following is a PBE calculation of an optimized crystal structure of ErTmBeAl, from the Alexandria database.

- total energy (eV per cell) = -17.1
- energy of formation from the pure elements (meV per atom) = -143
- magnetic moment (μB per cell) = 0.00
- space-group type = F-43m (216)

Lattice parameters (Å, degrees): 4.919 4.919 4.919 60.00 60.00 60.00
Positions (direct):
Er: 0.000 0.000 0.000
Tm: 0.500 0.500 0.500
Be: 0.750 0.750 0.750
Al: 0.250 0.250 0.250

The following is a PBE calculation of an optimized crystal structure of Nd2ThHg, from the Alexandria database.

- total energy (eV per cell) = -18.2
- energy of formation from the pure elements (meV per atom) = -236
- magnetic moment (μB per cell) = 0.00
- ΔE to the lowest computed polymorph (eV per atom) = 0.000
- space-group type = P4/mmm (123)

Lattice parameters (Å, degrees): 3.686 3.686 9.013 90.00 90.00 90.00
Positions (direct):
Nd: 0.000 0.000 0.231
Nd: 0.000 0.000 0.769
Th: 0.500 0.500 0.500
Hg: 0.500 0.500 0.000

The following is a PBE calculation of an optimized crystal structure of SiNi2Te, from the Alexandria database.

- total energy (eV per cell) = -18.2
- raw formation energy (eV/atom) = 0.4727
- magnetic moment (μB per cell) = 0.00
- ΔE to the lowest computed polymorph (eV per atom) = 0.689
- space-group type = F-43m (216)

Lattice parameters (Å, degrees): 4.436 4.436 4.436 60.00 60.00 60.00
Positions (direct):
Si: 0.000 0.000 0.000
Ni: 0.250 0.250 0.250
Ni: 0.500 0.500 0.500
Te: 0.750 0.750 0.750

The following is a PBE calculation of an optimized crystal structure of Hf2MgPb, from the Alexandria database.

- total energy (eV per cell) = -46.9
- energy of formation from the pure elements (meV per atom) = 442
- magnetic moment (μB per cell) = 0.00
- space-group type = I-42d (122)

Lattice parameters (Å, degrees): 6.426 6.426 6.426 102.46 102.46 124.64
Positions (direct):
Hf: 0.120 0.125 0.495
Hf: 0.375 0.880 0.005
Hf: 0.630 0.625 0.505
Hf: 0.875 0.370 0.995
Mg: 0.250 0.750 0.500
Mg: 0.500 0.500 0.000
Pb: 0.000 0.000 0.000
Pb: 0.750 0.250 0.500

The following is a PBE calculation of an optimized crystal structure of BiPbO3, from the Alexandria database.

- total energy (eV per cell) = -55.1
- raw formation energy (eV/atom) = -1.0180
- magnetic moment (μB per cell) = 0.00
- space-group type = P2_1/m (11)

Lattice parameters (Å, degrees): 5.659 4.185 7.643 90.00 95.86 90.00
Positions (direct):
Bi: 0.232 0.250 0.399
Bi: 0.768 0.750 0.601
Pb: 0.289 0.250 0.865
Pb: 0.711 0.750 0.135
O: 0.004 0.250 0.620
O: 0.279 0.750 0.945
O: 0.499 0.250 0.630
O: 0.501 0.750 0.370
O: 0.721 0.250 0.055
O: 0.996 0.750 0.380

The following is a PBE calculation of an optimized crystal structure of LuScMnHg, from the Alexandria database.

- total energy (eV per cell) = -20.7
- energy of formation from the pure elements (meV per atom) = -85
- magnetic moment (μB per cell) = 2.98
- space-group type = F-43m (216)

Lattice parameters (Å, degrees): 4.947 4.947 4.947 60.00 60.00 60.00
Positions (direct):
Lu: 0.000 0.000 0.000
Sc: 0.500 0.500 0.500
Mn: 0.250 0.250 0.250
Hg: 0.750 0.750 0.750

The following is a PBE calculation of an optimized crystal structure of Sc4Si6Os7, from the Alexandria database.

- total energy (eV per cell) = -147.2
- raw formation energy (eV/atom) = -0.6304
- magnetic moment (μB per cell) = 0.00
- space-group type = Im-3m (229)

Lattice parameters (Å, degrees): 6.962 6.962 6.962 109.47 109.47 109.47
Positions (direct):
Sc: 0.000 0.000 0.500
Sc: 0.000 0.500 0.000
Sc: 0.500 0.000 0.000
Sc: 0.500 0.500 0.500
Si: 0.000 0.308 0.308
Si: 0.000 0.692 0.692
Si: 0.308 0.000 0.308
Si: 0.308 0.308 0.000
Si: 0.692 0.000 0.692
Si: 0.692 0.692 0.000
Os: 0.000 0.000 0.000
Os: 0.250 0.500 0.750
Os: 0.250 0.750 0.500
Os: 0.500 0.250 0.750
Os: 0.500 0.750 0.250
Os: 0.750 0.250 0.500
Os: 0.750 0.500 0.250

The following is a PBE calculation of an optimized crystal structure of BaAc2Ho, from the Alexandria database.

- total energy (eV per cell) = -13.8
- energy of formation from the pure elements (meV per atom) = 221
- magnetic moment (μB per cell) = 0.00
- ΔE to the lowest computed polymorph (eV per atom) = 0.140
- space-group type = Fm-3m (225)

Lattice parameters (Å, degrees): 6.291 6.291 6.291 60.00 60.00 60.00
Positions (direct):
Ba: 0.000 0.000 0.000
Ac: 0.250 0.250 0.250
Ac: 0.750 0.750 0.750
Ho: 0.500 0.500 0.500